# Pb2ClF | the Alexandria database | GGA-PBE | relaxed
# - VASP energy (eV per atom) = -3.5242
# - formation energy (no corrections) (eV/atom) = -0.741
# - crystal system = cubic
data_Pb2ClF
_space_group_name_H-M_alt 'F m -3 m'
_space_group_IT_number 225
_space_group_name_Hall '-F 4 2 3'
_cell_length_a 7.2419
_cell_length_b 7.2419
_cell_length_c 7.2419
_cell_angle_alpha 90.00
_cell_angle_beta 90.00
_cell_angle_gamma 90.00
loop_
_atom_site_label
_atom_site_fract_x
_atom_site_fract_y
_atom_site_fract_z
Pb1 0.2500 0.2500 0.2500
Cl1 0.0000 0.0000 0.0000
F1 0.0000 0.0000 0.5000